A PBEsol-optimized structure of NaAsP2S, computed with meta-GGA SCAN.

Properties
Calculated total energy = -9.40 eV/atom
Symmetry = No. 123
E_form (uncorrected) = 1569 meV per atom

a = 4.7653 Å, b = 4.7653 Å, c = 4.6317 Å
α = 90.00°, β = 90.00°, γ = 90.00°
Closest atoms and distances in Å follow each position.
Atoms (fractional coordinates):
Na: 0.0000 0.0000 0.0000  2 S 2.32, 4 P 2.38
As: 0.5000 0.5000 0.5000  8 P 3.32, 4 S 3.37
P: 0.0000 0.5000 0.0000  2 Na 2.38
P: 0.5000 0.0000 0.0000  2 Na 2.38
S: 0.0000 0.0000 0.5000  2 Na 2.32

***

A PBEsol-optimized structure of NaAsPb3, computed with meta-GGA SCAN.

Properties
Calculated total energy = -49.65 eV/atom
Symmetry = No. 221
Formation energy = 0.6998 eV per atom

a = 5.3480 Å, b = 5.3480 Å, c = 5.3480 Å
α = 90.00°, β = 90.00°, γ = 90.00°
Closest atoms and distances in Å follow each position.
Atoms (fractional coordinates):
Na: 0.0000 0.0000 0.0000  6 Pb 2.67
As: 0.5000 0.5000 0.5000  12 Pb 3.78
Pb: 0.0000 0.0000 0.5000  2 Na 2.67
Pb: 0.0000 0.5000 0.0000  2 Na 2.67
Pb: 0.5000 0.0000 0.0000  2 Na 2.67

***

A PBEsol-optimized structure of NaAs2PbSe, computed with meta-GGA SCAN.

Properties
Calculated total energy = -27.61 eV/atom
Symmetry = No. 123
E_form (uncorrected) = 480 meV per atom

a = 5.3859 Å, b = 5.3859 Å, c = 5.5550 Å
α = 90.00°, β = 90.00°, γ = 90.00°
Closest atoms and distances in Å follow each position.
Atoms (fractional coordinates):
Na: 0.0000 0.0000 0.0000  4 Se 3.81, 8 As 3.87
As: 0.0000 0.5000 0.5000  2 Pb 2.69
As: 0.5000 0.0000 0.5000  2 Pb 2.69
Pb: 0.5000 0.5000 0.5000  4 As 2.69, 2 Se 2.78
Se: 0.5000 0.5000 0.0000  2 Pb 2.78

***

A PBEsol-optimized structure of NaAs2Pd, computed with meta-GGA SCAN.

Properties
Calculated total energy = -19.51 eV/atom
Symmetry = No. 225
Formation energy = -0.1660 eV per atom

a = 4.5838 Å, b = 4.5838 Å, c = 4.5838 Å
α = 60.00°, β = 60.00°, γ = 60.00°
Closest atoms and distances in Å follow each position.
Atoms (fractional coordinates):
Na: 0.0000 0.0000 0.0000  8 As 2.81
As: 0.2500 0.2500 0.2500  4 Pd 2.81, 4 Na 2.81
As: 0.7500 0.7500 0.7500  4 Pd 2.81, 4 Na 2.81
Pd: 0.5000 0.5000 0.5000  8 As 2.81

***

A PBEsol-optimized structure of NaAs3Pd, computed with meta-GGA SCAN.

Properties
Calculated total energy = -18.23 eV/atom
Symmetry = No. 221
Formation energy = 1.2781 eV per atom

a = 4.7963 Å, b = 4.7963 Å, c = 4.7963 Å
α = 90.00°, β = 90.00°, γ = 90.00°
Closest atoms and distances in Å follow each position.
Atoms (fractional coordinates):
Na: 0.0000 0.0000 0.0000  6 As 2.40
As: 0.0000 0.0000 0.5000  2 Na 2.40
As: 0.0000 0.5000 0.0000  2 Na 2.40
As: 0.5000 0.0000 0.0000  2 Na 2.40
Pd: 0.5000 0.5000 0.5000  12 As 3.39

***

A PBEsol-optimized structure of Na2AsPd2, computed with meta-GGA SCAN.

Properties
Calculated total energy = -19.22 eV/atom
Symmetry = No. 127
Formation energy = -0.3889 eV per atom

a = 6.3239 Å, b = 6.3239 Å, c = 4.8437 Å
α = 90.00°, β = 90.00°, γ = 90.00°
Closest atoms and distances in Å follow each position.
Atoms (fractional coordinates):
Na: 0.1703 0.3297 0.0000  6 Pd 2.90-3.17, 1 Na 3.05
Na: 0.3297 0.8297 0.0000  6 Pd 2.90-3.17, 1 Na 3.05
Na: 0.6703 0.1703 0.0000  6 Pd 2.90-3.17, 1 Na 3.05
Na: 0.8297 0.6703 0.0000  6 Pd 2.90-3.17, 1 Na 3.05
As: 0.0000 0.0000 0.5000  4 Pd 2.40
As: 0.5000 0.5000 0.5000  4 Pd 2.40
Pd: 0.1521 0.6521 0.5000  2 As 2.40
Pd: 0.3479 0.1521 0.5000  2 As 2.40
Pd: 0.6521 0.8479 0.5000  2 As 2.40
Pd: 0.8479 0.3479 0.5000  2 As 2.40

***

no.,Fermi-level density of states (states/eV per cell)
1,6.07
2,2.69
3,3.29
4,0.95
5,2.88
6,4.00